Record 1
This record from Alexandria describes an optimized crystal structure of Nd3SmY2As6. The functional is GGA-PBE.

Computed properties:
Magnetic moment in μB per formula unit: 0.00
Formation energy in eV/f.u.: -18.30
DOS at the Fermi energy in states/eV/cell: 1.7

Cell: 7.3003 7.3003 7.2971 Å, 99.59 99.59 119.99°
Last column: nearest neighbours and their distance in Å.
Element x y z (fractional)
1 As 0.4172 0.0811 0.2433  2 Y 2.94-2.95, 1 Sm 2.97, 3 Nd 3.00-3.01
2 As 0.2552 0.2552 0.7573  2 Y 2.95, 1 Sm 2.97, 3 Nd 2.99-3.01
3 As 0.9189 0.5828 0.7567  2 Y 2.94-2.95, 1 Sm 2.97, 3 Nd 3.00-3.01
4 As 0.5828 0.9189 0.7567  2 Y 2.94-2.95, 1 Sm 2.97, 3 Nd 3.00-3.01
5 As 0.0811 0.4172 0.2433  2 Y 2.94-2.95, 1 Sm 2.97, 3 Nd 3.00-3.01
6 As 0.7448 0.7448 0.2427  2 Y 2.95, 1 Sm 2.97, 3 Nd 2.99-3.01
7 Nd 0.5000 0.5000 0.5000  6 As 2.99-3.01
8 Nd 0.8340 0.1660 0.5000  6 As 3.00-3.01
9 Nd 0.1660 0.8340 0.5000  6 As 3.00-3.01
10 Sm 0.0000 0.0000 0.0000  6 As 2.97
11 Y 0.3331 0.6669 0.0000  6 As 2.94-2.95
12 Y 0.6669 0.3331 0.0000  6 As 2.94-2.95

=====

Record 2
This record from Alexandria describes an optimized crystal structure of Nd2SmZrAs4. The functional is GGA-PBE.

Computed properties:
Magnetic moment in μB per formula unit: 0.00
Formation energy in eV/f.u.: -11.24
DOS at the Fermi energy in states/eV/cell: 1.5

Cell: 4.1438 7.1787 7.1856 Å, 109.26 90.00 90.00°
Last column: nearest neighbours and their distance in Å.
Element x y z (fractional)
1 As 0.5000 0.7658 0.7681  2 Zr 2.84, 1 Sm 2.92, 3 Nd 2.95-3.04
2 As 0.5000 0.2342 0.2319  2 Zr 2.84, 1 Sm 2.92, 3 Nd 2.95-3.04
3 As 0.0000 0.2432 0.7616  1 Zr 2.82, 2 Sm 2.92, 3 Nd 2.95-3.04
4 As 0.0000 0.7568 0.2384  1 Zr 2.82, 2 Sm 2.92, 3 Nd 2.95-3.04
5 Nd 0.5000 0.0000 0.5000  6 As 2.95
6 Nd 0.0000 0.5000 0.5000  6 As 3.04
7 Zr 0.0000 0.0000 0.0000  6 As 2.82-2.84
8 Sm 0.5000 0.5000 0.0000  6 As 2.92